Entry from the Alexandria database: an optimized crystal structure of Sm4Te2PdSe (PBE).

Summary:
Mass density ... 7.56 g/cm³
Total magnetization ... 0.000 μB per formula unit
Electronic total energy ... -44.552 eV per cell

abc: 7.5301 4.2325 7.5974
angles: 90.00 108.99 90.00
With the nearest neighbours (Å) after each atom.
Space group P2/m (No. 10)
Unique sites:
Sm 0.2308 0.0000 0.2191  2 Pd 2.90, 1 Se 3.01, 3 Te 3.16-3.21
Sm 0.2581 0.5000 0.7712  2 Se 2.96, 1 Pd 3.00, 3 Te 3.15-3.16
Te 0.0000 0.0000 0.5000  6 Sm 3.15-3.16
Te 0.5000 0.5000 0.5000  6 Sm 3.16-3.21
Pd 0.0000 0.5000 0.0000  6 Sm 2.90-3.00
Se 0.5000 0.0000 0.0000  6 Sm 2.96-3.01